Be2C: optimized geometry, PBE.

Results
- energy relative to the lowest polymorph listed for this composition (meV per atom) = 597
- magnetization (μB/cell) = 0.000
- E (eV per formula unit) = -15.6

Cell and atoms, written as CIF:
```
data_Be2C
_chemical_formula_sum 'Be8 C4'
_cell_length_a 7.3228
_cell_length_b 2.9192
_cell_length_c 4.8950
_cell_angle_alpha 90.00
_cell_angle_beta 127.01
_cell_angle_gamma 90.00
_symmetry_space_group_name_H-M 'C 1 2/m 1'
_symmetry_Int_Tables_number 12
loop_
_symmetry_equiv_pos_as_xyz
'x,y,z'
'-x,-y,-z'
'-x,y,-z'
'x,-y,z'
'x+1/2,y+1/2,z'
'-x+1/2,-y+1/2,-z'
'-x+1/2,y+1/2,-z'
'x+1/2,-y+1/2,z'
loop_
_atom_site_label
_atom_site_type_symbol
_atom_site_fract_x
_atom_site_fract_y
_atom_site_fract_z
_atom_site_occupancy
Be1 Be 0.1186 0.0000 0.3756 1
Be2 Be 0.1870 0.5000 0.0776 1
C1 C 0.1398 0.5000 0.6531 1
```